Entry 1:
Entry from Alexandria: a relaxed UAlRh2 crystal (PBE).

The formation energy comes out at -0.3811 eV/atom. For the density of states at the Fermi level, the calculation gives 7.0 states/eV/f.u. The space group is R-3m (166).

Cell lengths 9.087, 9.087, 9.087 Å; angles 18.27, 18.27, 18.27 degrees
Fractional positions:
U 0.000 0.000 0.000
Al 0.500 0.500 0.500
Rh 0.240 0.240 0.240
Rh 0.760 0.760 0.760

Entry 2:
Entry from Alexandria: a relaxed LiCe4Sc3Te8 crystal (PBE).

As for the formation energy from raw total energies: -1.244 eV/atom. For the density of states at the Fermi level, the calculation gives 31.5 states/eV/f.u. The space group is R-3m (166).

Cell lengths 8.724, 8.724, 8.724 Å; angles 59.18, 59.18, 59.18 degrees
Fractional positions:
Li 0.000 0.000 0.000
Ce 0.000 0.000 0.500
Ce 0.000 0.500 0.000
Ce 0.500 0.000 0.000
Ce 0.500 0.500 0.500
Sc 0.000 0.500 0.500
Sc 0.500 0.000 0.500
Sc 0.500 0.500 0.000
Te 0.240 0.240 0.743
Te 0.240 0.743 0.240
Te 0.257 0.760 0.760
Te 0.258 0.258 0.258
Te 0.742 0.742 0.742
Te 0.743 0.240 0.240
Te 0.760 0.257 0.760
Te 0.760 0.760 0.257

Entry 3:
Entry from Alexandria: a relaxed AsPd crystal (PBE).

The formation energy comes out at -0.1982 eV/atom. For the density of states at the Fermi level, the calculation gives 0.9 states/eV/f.u. The space group is R-3m (166).

Cell lengths 4.384, 4.384, 4.384 Å; angles 41.46, 41.46, 41.46 degrees
Fractional positions:
As 0.000 0.000 0.000
Pd 0.500 0.500 0.500

Entry 4:
Entry from Alexandria: a relaxed In2BiAu4 crystal (PBE).

The formation energy comes out at -0.0768 eV/atom. For the density of states at the Fermi level, the calculation gives 2.5 states/eV/f.u. The space group is C2/c (15).

Cell lengths 8.962, 8.962, 5.701 Å; angles 96.58, 96.58, 43.75 degrees
Fractional positions:
In 0.064 0.340 0.213
In 0.340 0.064 0.713
In 0.660 0.936 0.287
In 0.936 0.660 0.787
Bi 0.239 0.761 0.750
Bi 0.761 0.239 0.250
Au 0.078 0.750 0.216
Au 0.250 0.922 0.284
Au 0.316 0.380 0.504
Au 0.380 0.316 0.004
Au 0.620 0.684 0.996
Au 0.684 0.620 0.496
Au 0.750 0.078 0.716
Au 0.922 0.250 0.784

Entry 5:
Entry from Alexandria: a relaxed Ta2MnPt crystal (PBE).

The formation energy comes out at -0.2598 eV/atom. For the density of states at the Fermi level, the calculation gives 3.1 states/eV/f.u. The space group is Pm (6).

Cell lengths 2.910, 4.379, 5.085 Å; angles 90.00, 99.93, 90.00 degrees
Fractional positions:
Ta 0.000 0.000 0.000
Ta 0.229 0.500 0.629
Mn 0.581 0.500 0.098
Pt 0.662 0.000 0.459

Entry 6:
Entry from Alexandria: a relaxed Ac4Zn3In crystal (PBE).

The formation energy comes out at -0.2550 eV/atom. For the density of states at the Fermi level, the calculation gives 6.9 states/eV/f.u. The space group is Pmm2 (25).

Cell lengths 4.048, 4.817, 12.965 Å; angles 90.00, 90.00, 90.00 degrees
Fractional positions:
Ac 0.000 0.000 0.000
Ac 0.000 0.500 0.289
Ac 0.500 0.000 0.483
Ac 0.500 0.500 0.801
Zn 0.000 0.500 0.574
Zn 0.500 0.000 0.205
Zn 0.500 0.500 0.082
In 0.000 0.000 0.704

Entry 7:
Entry from Alexandria: a relaxed Re2AgHg crystal (PBE).

The formation energy comes out at 0.9893 eV/atom. For the density of states at the Fermi level, the calculation gives 4.5 states/eV/f.u. The space group is P4/mmm (123).

Cell lengths 2.707, 2.707, 9.260 Å; angles 90.00, 90.00, 90.00 degrees
Fractional positions:
Re 0.000 0.000 0.242
Re 0.000 0.000 0.758
Ag 0.500 0.500 0.000
Hg 0.500 0.500 0.500

Entry 8:
Entry from Alexandria: a relaxed ZrRe2P crystal (PBE).

The formation energy comes out at -0.2170 eV/atom. For the density of states at the Fermi level, the calculation gives 2.8 states/eV/f.u. The space group is Cm (8).

Cell lengths 4.825, 4.825, 5.197 Å; angles 118.98, 118.98, 38.79 degrees
Fractional positions:
Zr 0.000 0.000 0.000
Re 0.591 0.591 0.622
Re 0.808 0.808 0.273
P 0.282 0.282 0.581

Entry 9:
Entry from Alexandria: a relaxed CsCd2H crystal (PBE).

The total energy is -1.067 eV per atom. For the density of states at the Fermi level, the calculation gives 0.0 states/eV/f.u. The space group is Fm-3m (225).

Cell lengths 5.945, 5.945, 5.945 Å; angles 60.00, 60.00, 60.00 degrees
Fractional positions:
Cs 0.000 0.000 0.000
Cd 0.250 0.250 0.250
Cd 0.750 0.750 0.750
H 0.500 0.500 0.500

Entry 10:
Entry from Alexandria: a relaxed La2PrSb crystal (PBE).

As for the formation energy from raw total energies: -0.349 eV/atom. For the density of states at the Fermi level, the calculation gives 5.8 states/eV/f.u. The space group is Fm-3m (225).

Cell lengths 5.648, 5.648, 5.648 Å; angles 60.00, 60.00, 60.00 degrees
Fractional positions:
La 0.250 0.250 0.250
La 0.750 0.750 0.750
Pr 0.000 0.000 0.000
Sb 0.500 0.500 0.500

Entry 11:
Entry from Alexandria: a relaxed Rb2Cd7 crystal (PBE).

The formation energy comes out at -0.0470 eV/atom. For the density of states at the Fermi level, the calculation gives 4.1 states/eV/f.u. The space group is R-3m (166).

Cell lengths 15.590, 15.590, 15.590 Å; angles 23.86, 23.86, 23.86 degrees
Fractional positions:
Rb 0.054 0.054 0.054
Rb 0.152 0.152 0.152
Rb 0.848 0.848 0.848
Rb 0.946 0.946 0.946
Cd 0.000 0.500 0.500
Cd 0.109 0.609 0.609
Cd 0.280 0.280 0.280
Cd 0.387 0.387 0.387
Cd 0.391 0.391 0.891
Cd 0.391 0.891 0.391
Cd 0.500 0.000 0.500
Cd 0.500 0.500 0.000
Cd 0.500 0.500 0.500
Cd 0.609 0.109 0.609
Cd 0.609 0.609 0.109
Cd 0.613 0.613 0.613
Cd 0.720 0.720 0.720
Cd 0.891 0.391 0.391

Entry 12:
Entry from Alexandria: a relaxed Li2Al3Cu7 crystal (PBE).

The formation energy comes out at -0.2046 eV/atom. For the density of states at the Fermi level, the calculation gives 3.9 states/eV/f.u. The space group is C2/m (12).

Cell lengths 4.134, 4.134, 9.394 Å; angles 103.11, 103.11, 88.17 degrees
Fractional positions:
Li 0.167 0.167 0.335
Li 0.833 0.833 0.665
Al 0.000 0.000 0.000
Al 0.334 0.334 0.668
Al 0.666 0.666 0.332
Cu 0.084 0.584 0.167
Cu 0.251 0.749 0.500
Cu 0.416 0.916 0.833
Cu 0.500 0.500 0.000
Cu 0.584 0.084 0.167
Cu 0.749 0.251 0.500
Cu 0.916 0.416 0.833

Entry 13:
Entry from Alexandria: a relaxed Ca3Ac2NdTe6 crystal (PBE).

As for the formation energy from raw total energies: -1.531 eV/atom. For the density of states at the Fermi level, the calculation gives 5.0 states/eV/f.u. The space group is C2/m (12).

Cell lengths 10.313, 10.313, 9.239 Å; angles 104.30, 104.30, 25.51 degrees
Fractional positions:
Ca 0.000 0.000 0.000
Ca 0.332 0.332 0.667
Ca 0.668 0.668 0.333
Ac 0.337 0.337 0.175
Ac 0.663 0.663 0.825
Nd 0.000 0.000 0.500
Te 0.164 0.164 0.092
Te 0.167 0.167 0.568
Te 0.494 0.494 0.750
Te 0.506 0.506 0.250
Te 0.833 0.833 0.432
Te 0.836 0.836 0.908